No. 1
A plane-wave DFT calculation with PBE was carried out for ZnB after structural relaxation.

E_tot = -3.4450 eV per atom
Total moment = 0.0 μB per cell
Crystal system = orthorhombic
Formation enthalpy at 0 K = 0.53 eV/atom

Cell lengths 3.7653, 11.2845, 3.8239 Å; angles 90.00, 90.00, 90.00 degrees
Last column: nearest neighbours and their distance in Å.
Space group Imm2 (No. 44)
Symmetry-distinct sites (fractional):
Zn 0.0000 0.0000 0.0000 (multiplicity 2)  2 B 2.02
Zn 0.0000 0.2654 0.1360 (multiplicity 4)  4 B 2.20-2.37
B 0.0000 0.3620 0.6355 (multiplicity 4)  1 B 1.57
B 0.0000 0.5000 0.6942 (multiplicity 2)  2 B 1.57

=====

No. 2
A plane-wave DFT calculation with PBE was carried out for ZnB after structural relaxation.

E_tot = -3.5433 eV per atom
Total moment = 0.0 μB per cell
Crystal system = tetragonal
Formation enthalpy at 0 K = 0.43 eV/atom

Cell lengths 8.1449, 8.1449, 3.0233 Å; angles 90.00, 90.00, 90.00 degrees
Last column: nearest neighbours and their distance in Å.
Space group P4/m (No. 83)
Symmetry-distinct sites (fractional):
Zn 0.0281 0.2203 0.0000 (multiplicity 4)  3 B 2.30-2.57, 2 Zn 2.56
Zn 0.2783 0.6708 0.5000 (multiplicity 4)  4 B 2.18-2.35
B 0.1133 0.4603 0.5000 (multiplicity 4)  2 B 1.64
B 0.1903 0.4510 0.0000 (multiplicity 4)  2 B 1.64

=====

No. 3
A plane-wave DFT calculation with PBE was carried out for ZnB after structural relaxation.

E_tot = -3.7324 eV per atom
Total moment = 0.0 μB per cell
Crystal system = triclinic
Formation enthalpy at 0 K = 0.24 eV/atom

Cell lengths 3.0236, 3.0404, 5.6906 Å; angles 95.94, 91.13, 119.38 degrees
Last column: nearest neighbours and their distance in Å.
Space group P1 (No. 1)
Symmetry-distinct sites (fractional):
Zn 0.0000 0.0000 0.0000 (multiplicity 1)  6 B 2.32-2.39
Zn 0.3903 0.7603 0.3569 (multiplicity 1)  2 B 2.19-2.29
B 0.2889 0.6011 0.7254 (multiplicity 1)  3 B 1.74-1.78
B 0.6267 0.2574 0.7180 (multiplicity 1)  3 B 1.74-1.78